# 1
Below is a crystal of KVHSe2O7 relaxed with PBEsol, with properties calculated at the meta-GGA SCAN level.

The structure in POSCAR format:
```
KVHSe2O7
1.0
4.003 0.000 0.000
0.000 10.497 0.000
-0.906 0.000 7.757
K V H Se O
2 2 2 4 14
direct
0.090 0.250 0.057 K
0.910 0.750 0.943 K
0.048 0.750 0.440 V
0.952 0.250 0.560 V
0.500 0.000 0.000 H
0.500 0.500 0.000 H
0.299 0.510 0.685 Se
0.299 0.990 0.685 Se
0.701 0.010 0.315 Se
0.701 0.490 0.315 Se
0.020 0.116 0.385 O
0.020 0.384 0.385 O
0.073 0.122 0.741 O
0.073 0.378 0.741 O
0.397 0.574 0.888 O
0.397 0.926 0.888 O
0.459 0.750 0.453 O
0.541 0.250 0.547 O
0.603 0.074 0.112 O
0.603 0.426 0.112 O
0.927 0.622 0.259 O
0.927 0.878 0.259 O
0.980 0.616 0.615 O
0.980 0.884 0.615 O
```

As for the space-group type: P2_1/m. The calculation puts the mass density at 3.678 g cm⁻³. The total magnetization comes out at 1.0 μB per formula unit. Its total energy is -10.984 eV/atom.



# 2
Below is a crystal of Ba2HCl relaxed with PBEsol, with properties calculated at the meta-GGA SCAN level.

The structure in POSCAR format:
```
Ba2HCl
1.0
7.434 0.000 0.000
0.000 7.434 0.000
0.000 0.000 7.434
Ba H Cl
8 4 4
direct
0.250 0.250 0.250 Ba
0.250 0.250 0.750 Ba
0.250 0.750 0.250 Ba
0.250 0.750 0.750 Ba
0.750 0.250 0.250 Ba
0.750 0.250 0.750 Ba
0.750 0.750 0.250 Ba
0.750 0.750 0.750 Ba
0.000 0.000 0.000 H
0.000 0.500 0.500 H
0.500 0.000 0.500 H
0.500 0.500 0.000 H
0.000 0.000 0.500 Cl
0.000 0.500 0.000 Cl
0.500 0.000 0.000 Cl
0.500 0.500 0.500 Cl
```

As for the space-group type: Fm-3m. The calculation puts the mass density at 5.029 g cm⁻³. The total magnetization comes out at 1.2 μB per formula unit. As for the density of states at the Fermi level: 8.2 states/eV per cell. Its total energy is -23.483 eV/atom.



# 3
Below is a crystal of Na3CoC2ClO6 relaxed with PBEsol, with properties calculated at the meta-GGA SCAN level.

The structure in POSCAR format:
```
Na3CoC2ClO6
1.0
0.000 6.979 6.979
6.979 0.000 6.979
6.979 6.979 0.000
Na Co C Cl O
12 4 8 4 24
direct
0.100 0.100 0.650 Na
0.100 0.650 0.100 Na
0.100 0.650 0.650 Na
0.350 0.350 0.900 Na
0.350 0.900 0.350 Na
0.350 0.900 0.900 Na
0.650 0.100 0.100 Na
0.650 0.100 0.650 Na
0.650 0.650 0.100 Na
0.900 0.350 0.350 Na
0.900 0.350 0.900 Na
0.900 0.900 0.350 Na
0.000 0.500 0.500 Co
0.500 0.000 0.500 Co
0.500 0.500 0.000 Co
0.500 0.500 0.500 Co
0.284 0.284 0.284 C
0.284 0.284 0.649 C
0.284 0.649 0.284 C
0.351 0.716 0.716 C
0.649 0.284 0.284 C
0.716 0.351 0.716 C
0.716 0.716 0.351 C
0.716 0.716 0.716 C
0.000 0.000 0.000 Cl
0.000 0.000 0.500 Cl
0.000 0.500 0.000 Cl
0.500 0.000 0.000 Cl
0.139 0.314 0.652 O
0.139 0.396 0.314 O
0.139 0.652 0.396 O
0.314 0.139 0.396 O
0.314 0.396 0.652 O
0.314 0.652 0.139 O
0.348 0.604 0.861 O
0.348 0.686 0.604 O
0.348 0.861 0.686 O
0.396 0.139 0.652 O
0.396 0.314 0.139 O
0.396 0.652 0.314 O
0.604 0.348 0.686 O
0.604 0.686 0.861 O
0.604 0.861 0.348 O
0.652 0.139 0.314 O
0.652 0.314 0.396 O
0.652 0.396 0.139 O
0.686 0.348 0.861 O
0.686 0.604 0.348 O
0.686 0.861 0.604 O
0.861 0.348 0.604 O
0.861 0.604 0.686 O
0.861 0.686 0.348 O
```

As for the space-group type: Fd-3. The value obtained for the uncorrected formation energy is -1702 meV per atom. The calculation puts the mass density at 2.768 g cm⁻³. The total magnetization comes out at 3.0 μB per formula unit. As for the density of states at the Fermi level: 26.7 states/eV per cell.



# 4
Below is a crystal of AlTeNO2 relaxed with PBEsol, with properties calculated at the meta-GGA SCAN level.

The structure in POSCAR format:
```
AlTeNO2
1.0
3.981 0.000 0.000
0.000 3.981 0.000
0.000 0.000 4.112
Al Te N O
1 1 1 2
direct
0.000 0.000 0.000 Al
0.500 0.500 0.500 Te
0.500 0.500 0.000 N
0.000 0.500 0.500 O
0.500 0.000 0.500 O
```

As for the space-group type: P4/mmm. The value obtained for the uncorrected formation energy is 90 meV per atom. The calculation puts the mass density at 5.111 g cm⁻³. The total magnetization comes out at 0.0 μB per formula unit. As for the density of states at the Fermi level: 1.2 states/eV per cell.



# 5
Below is a crystal of IrPtCl2 relaxed with PBEsol, with properties calculated at the meta-GGA SCAN level.

The structure in POSCAR format:
```
IrPtCl2
1.0
2.837 0.000 0.000
0.000 4.153 0.000
0.000 0.000 5.269
Ir Pt Cl
1 1 2
direct
0.000 0.000 0.000 Ir
0.500 0.000 0.500 Pt
0.000 0.500 0.500 Cl
0.500 0.500 0.000 Cl
```

As for the space-group type: Pmmm. The value obtained for the uncorrected formation energy is 762 meV per atom. The calculation puts the mass density at 12.257 g cm⁻³. The total magnetization comes out at 0.0 μB per formula unit. Its distance to the lowest polymorph of the same formula is 79.3 kJ/mol of atoms. As for the density of states at the Fermi level: 2.6 states/eV per cell.



# 6
Below is a crystal of MgTi7H16 relaxed with PBEsol, with properties calculated at the meta-GGA SCAN level.

The structure in POSCAR format:
```
MgTi7H16
1.0
0.000 4.399 4.399
4.399 0.000 4.399
4.399 4.399 0.000
Mg Ti H
1 7 16
direct
0.000 0.000 0.000 Mg
0.000 0.000 0.500 Ti
0.000 0.500 0.000 Ti
0.000 0.500 0.500 Ti
0.500 0.000 0.000 Ti
0.500 0.000 0.500 Ti
0.500 0.500 0.000 Ti
0.500 0.500 0.500 Ti
0.126 0.625 0.625 H
0.129 0.129 0.129 H
0.129 0.129 0.613 H
0.129 0.613 0.129 H
0.375 0.375 0.375 H
0.375 0.375 0.874 H
0.375 0.874 0.375 H
0.387 0.871 0.871 H
0.613 0.129 0.129 H
0.625 0.126 0.625 H
0.625 0.625 0.126 H
0.625 0.625 0.625 H
0.871 0.387 0.871 H
0.871 0.871 0.387 H
0.871 0.871 0.871 H
0.874 0.375 0.375 H
```

As for the space-group type: Fm-3m. The calculation puts the mass density at 3.662 g cm⁻³. The total magnetization comes out at 0.0 μB per formula unit. As for the density of states at the Fermi level: 9.1 states/eV per cell. Its total energy is -7.695 eV/atom.



# 7
Below is a crystal of FeRe8 relaxed with PBEsol, with properties calculated at the meta-GGA SCAN level.

The structure in POSCAR format:
```
FeRe8
1.0
-4.080 4.080 1.919
4.080 -4.080 1.919
4.080 4.080 -1.919
Fe Re
1 8
direct
0.000 0.000 0.000 Fe
0.000 0.327 0.327 Re
0.000 0.673 0.673 Re
0.327 0.000 0.327 Re
0.338 0.338 0.676 Re
0.338 0.662 0.000 Re
0.662 0.338 0.000 Re
0.662 0.662 0.324 Re
0.673 0.000 0.673 Re
```

As for the space-group type: I4/mmm. The calculation puts the mass density at 20.087 g cm⁻³. The total magnetization comes out at 1.6 μB per formula unit. As for the density of states at the Fermi level: 7.2 states/eV per cell. For the formation energy from the elements, the calculation gives 8 kJ per mole of atoms.



# 8
Below is a crystal of Ca2TlAg relaxed with PBEsol, with properties calculated at the meta-GGA SCAN level.

The structure in POSCAR format:
```
Ca2TlAg
1.0
5.274 0.000 0.000
0.000 5.274 0.000
0.000 0.000 3.700
Ca Tl Ag
2 1 1
direct
0.000 0.500 0.000 Ca
0.500 0.000 0.000 Ca
0.000 0.000 0.500 Tl
0.500 0.500 0.500 Ag
```

As for the space-group type: P4/mmm. The calculation puts the mass density at 6.330 g cm⁻³. The total magnetization comes out at 0.0 μB per formula unit. As for the density of states at the Fermi level: 2.3 states/eV per cell. For the formation energy from the elements, the calculation gives -45 kJ per mole of atoms.



# 9
Below is a crystal of CdCu3 relaxed with PBEsol, with properties calculated at the meta-GGA SCAN level.

The structure in POSCAR format:
```
CdCu3
1.0
4.829 0.000 0.000
0.000 4.829 0.000
0.000 0.000 4.829
Cd Cu
1 3
direct
0.000 0.000 0.000 Cd
0.000 0.000 0.500 Cu
0.000 0.500 0.000 Cu
0.500 0.000 0.000 Cu
```

As for the space-group type: Pm-3m. The calculation puts the mass density at 4.468 g cm⁻³. The total magnetization comes out at 0.0 μB per formula unit. As for the density of states at the Fermi level: 2.0 states/eV per cell. For the formation energy from the elements, the calculation gives 138 kJ per mole of atoms.



# 10
Below is a crystal of ScCoO3 relaxed with PBEsol, with properties calculated at the meta-GGA SCAN level.

The structure in POSCAR format:
```
ScCoO3
1.0
5.285 0.000 0.000
0.000 7.086 0.000
0.000 0.000 4.858
Sc Co O
4 4 12
direct
0.085 0.250 0.032 Sc
0.415 0.750 0.532 Sc
0.585 0.250 0.468 Sc
0.915 0.750 0.968 Sc
0.000 0.000 0.500 Co
0.000 0.500 0.500 Co
0.500 0.000 0.000 Co
0.500 0.500 0.000 Co
0.048 0.750 0.369 O
0.192 0.564 0.818 O
0.192 0.936 0.818 O
0.308 0.064 0.318 O
0.308 0.436 0.318 O
0.452 0.250 0.869 O
0.548 0.750 0.131 O
0.692 0.564 0.682 O
0.692 0.936 0.682 O
0.808 0.064 0.182 O
0.808 0.436 0.182 O
0.952 0.250 0.631 O
```

As for the space-group type: Pnma. The value obtained for the uncorrected formation energy is -2667 meV per atom. The calculation puts the mass density at 5.546 g cm⁻³. The total magnetization comes out at 0.0 μB per formula unit. As for the density of states at the Fermi level: 0.0 states/eV per cell.